Here is a relaxed AlH3Ir crystal from Alexandria. Energies are from PBE.

- VASP energy: -3.660 eV per atom
- Fermi-level density of states: 2.35 states/eV/cell

Lattice parameters (Å, degrees): 3.4252 3.4252 3.4252 90.00 90.00 90.00
With the nearest neighbours (Å) after each atom.
Space group Pm-3m (No. 221)
Asymmetric unit:
Al (0.0000, 0.0000, 0.0000)  6 H 1.71
H (0.0000, 0.0000, 0.5000)  2 Al 1.71
Ir (0.5000, 0.5000, 0.5000)  12 H 2.42